(1)
DFT (PBEsol) results for a relaxed structure of Li8PbO6.

Computed properties:
- formation energy (no corrections) (eV/atom) = -1.722
- energy (eV per atom) = -5.137
- V (Å³/cell) = 138

Lattice parameters (Å, degrees): 5.5247 5.5247 6.1104 63.12 63.12 60.00
Fractional positions:
Li: 0.4919 0.1011 0.6366
Li: 0.6516 0.6516 0.0453
Li: 0.5081 0.8989 0.3634
Li: 0.3484 0.3484 0.9547
Li: 0.8989 0.2296 0.3634
Li: 0.1011 0.7704 0.6366
Li: 0.7704 0.4919 0.6366
Li: 0.2296 0.5081 0.3634
Pb: 0.0000 0.0000 0.0000
O: 0.7584 0.0986 0.7479
O: 0.3951 0.7584 0.7479
O: 0.6049 0.2416 0.2521
O: 0.9014 0.6049 0.2521
O: 0.0986 0.3951 0.7479
O: 0.2416 0.9014 0.2521

---

(2)
DFT (PBEsol) results for a relaxed structure of Li10Si2PbO10.

Computed properties:
- formation energy (no corrections) (eV/atom) = -2.210
- energy (eV per atom) = -6.021
- V (Å³/cell) = 453

Lattice parameters (Å, degrees): 5.1162 6.0384 15.1706 101.48 99.32 90.00
Fractional positions:
O: 0.1758 0.9660 0.3870
O: 0.7387 0.7275 0.4550
O: 0.4989 0.4501 0.9001
O: 0.6427 0.8493 0.2593
O: 0.0000 0.7502 0.0000
O: 0.1758 0.4210 0.3870
O: 0.6256 0.2141 0.4282
O: 0.1432 0.0916 0.1833
O: 0.6427 0.4099 0.2593
O: 0.5011 0.5499 0.0999
O: 0.8242 0.0340 0.6130
O: 0.9888 0.4058 0.8117
O: 0.8568 0.9084 0.8167
O: 0.8242 0.5790 0.6130
O: 0.2613 0.2725 0.5450
O: 0.0000 0.2498 0.0000
O: 0.0112 0.5942 0.1883
O: 0.3573 0.1507 0.7407
O: 0.3573 0.5901 0.7407
O: 0.3744 0.7859 0.5718
Si: 0.6879 0.7808 0.5616
Si: 0.3121 0.2192 0.4384
Si: 0.6948 0.6001 0.2002
Si: 0.3052 0.3999 0.7998
Li: 0.7704 0.2211 0.8726
Li: 0.2296 0.7789 0.1274
Li: 0.4852 0.1322 0.2643
Li: 0.5731 0.3242 0.6485
Li: 0.7609 0.5081 0.0162
Li: 0.9631 0.6488 0.7371
Li: 0.8642 0.2700 0.5400
Li: 0.2296 0.3485 0.1274
Li: 0.2066 0.5634 0.6108
Li: 0.4269 0.6758 0.3515
Li: 0.0369 0.3512 0.2629
Li: 0.1358 0.7300 0.4600
Li: 0.7934 0.9526 0.3892
Li: 0.2391 0.4919 0.9838
Li: 0.5148 0.8678 0.7357
Li: 0.0369 0.9117 0.2629
Li: 0.2066 0.0474 0.6108
Li: 0.7934 0.4366 0.3892
Li: 0.7704 0.6515 0.8726
Li: 0.9631 0.0883 0.7371
Pb: 0.7865 0.0388 0.0777
Pb: 0.2135 0.9612 0.9223